No. 1
Here is a relaxed structure of TaInB3 from Alexandria via LeMat-Bulk. Energies are from PBE.

a b c (Å): 4.353 4.353 4.353
angles (deg): 90.00 90.00 90.00
Element x y z (fractional)
1 Ta 0.000 0.000 0.000
2 In 0.500 0.500 0.500
3 B 0.000 0.000 0.500
4 B 0.000 0.500 0.000
5 B 0.500 0.000 0.000

Calculated values
Space-group type   Pm-3m, No. 221
Calculated formation energy   1.363 eV/atom
Density of states at the Fermi level   3.45 states/eV/cell
Offset from the most stable computed form   0 meV/atom

No. 2
Here is a relaxed structure of TaVInB2 from Alexandria via LeMat-Bulk. Energies are from PBE.

a b c (Å): 4.315 4.315 4.951
angles (deg): 90.00 90.00 90.00
Element x y z (fractional)
1 Ta 0.000 0.000 0.000
2 V 0.000 0.000 0.500
3 In 0.500 0.500 0.500
4 B 0.000 0.500 0.000
5 B 0.500 0.000 0.000

Calculated values
Space-group type   P4/mmm, No. 123
Calculated formation energy   1.425 eV/atom
Density of states at the Fermi level   3.47 states/eV/cell

No. 3
Here is a relaxed structure of Tb4In2B from Alexandria via LeMat-Bulk. Energies are from PBE.

a b c (Å): 5.057 5.057 15.343
angles (deg): 90.00 90.00 90.00
Element x y z (fractional)
1 Tb 0.000 0.000 0.169
2 Tb 0.000 0.000 0.831
3 Tb 0.000 0.500 0.000
4 Tb 0.000 0.500 0.500
5 Tb 0.500 0.000 0.000
6 Tb 0.500 0.000 0.500
7 Tb 0.500 0.500 0.331
8 Tb 0.500 0.500 0.669
9 In 0.000 0.000 0.372
10 In 0.000 0.000 0.628
11 In 0.500 0.500 0.128
12 In 0.500 0.500 0.872
13 B 0.000 0.000 0.000
14 B 0.500 0.500 0.500

Calculated values
Space-group type   I4/mmm, No. 139
Calculated formation energy   -0.225 eV/atom
Density of states at the Fermi level   13.70 states/eV/cell

No. 4
Here is a relaxed structure of In2TcB from Alexandria via LeMat-Bulk. Energies are from PBE.

a b c (Å): 8.724 8.724 4.143
angles (deg): 90.00 90.00 90.00
Element x y z (fractional)
1 In 0.106 0.250 0.125
2 In 0.250 0.606 0.375
3 In 0.250 0.894 0.875
4 In 0.394 0.250 0.625
5 In 0.606 0.750 0.625
6 In 0.750 0.106 0.875
7 In 0.750 0.394 0.375
8 In 0.894 0.750 0.125
9 Tc 0.000 0.000 0.500
10 Tc 0.000 0.500 0.750
11 Tc 0.500 0.000 0.250
12 Tc 0.500 0.500 0.000
13 B 0.000 0.000 0.000
14 B 0.000 0.500 0.250
15 B 0.500 0.000 0.750
16 B 0.500 0.500 0.500

Calculated values
Space-group type   I-42d, No. 122
Calculated formation energy   0.715 eV/atom
Density of states at the Fermi level   7.42 states/eV/cell

No. 5
Here is a relaxed structure of InTc3B from Alexandria via LeMat-Bulk. Energies are from PBE.

a b c (Å): 4.967 4.967 4.967
angles (deg): 90.00 90.00 90.00
Element x y z (fractional)
1 In 0.000 0.000 0.000
2 Tc 0.000 0.000 0.500
3 Tc 0.000 0.500 0.000
4 Tc 0.500 0.000 0.000
5 B 0.500 0.500 0.500

Calculated values
Space-group type   Pm-3m, No. 221
Calculated formation energy   3.187 eV/atom
Density of states at the Fermi level   3.18 states/eV/cell
Offset from the most stable computed form   3005 meV/atom

No. 6
Here is a relaxed structure of InTc3B from Alexandria via LeMat-Bulk. Energies are from PBE.

a b c (Å): 4.187 4.187 4.187
angles (deg): 90.00 90.00 90.00
Element x y z (fractional)
1 In 0.000 0.000 0.000
2 Tc 0.000 0.500 0.500
3 Tc 0.500 0.000 0.500
4 Tc 0.500 0.500 0.000
5 B 0.500 0.500 0.500

Calculated values
Space-group type   Pm-3m, No. 221
Calculated formation energy   0.182 eV/atom
Density of states at the Fermi level   10.42 states/eV/cell
Offset from the most stable computed form   0 meV/atom

No. 7
Here is a relaxed structure of InB2Te from Alexandria via LeMat-Bulk. Energies are from PBE.

a b c (Å): 6.417 6.417 6.417
angles (deg): 90.00 90.00 90.00
Element x y z (fractional)
1 In 0.000 0.000 0.000
2 In 0.000 0.500 0.500
3 In 0.500 0.000 0.500
4 In 0.500 0.500 0.000
5 B 0.250 0.250 0.250
6 B 0.250 0.250 0.750
7 B 0.250 0.750 0.250
8 B 0.250 0.750 0.750
9 B 0.750 0.250 0.250
10 B 0.750 0.250 0.750
11 B 0.750 0.750 0.250
12 B 0.750 0.750 0.750
13 Te 0.000 0.000 0.500
14 Te 0.000 0.500 0.000
15 Te 0.500 0.000 0.000
16 Te 0.500 0.500 0.500

Calculated values
Space-group type   Fm-3m, No. 225
Density of states at the Fermi level   8.16 states/eV/cell
Offset from the most stable computed form   802 meV/atom
ΔE_f (raw)   1.598 eV per atom

No. 8
Here is a relaxed structure of InB2Te from Alexandria via LeMat-Bulk. Energies are from PBE.

a b c (Å): 5.380 5.380 10.462
angles (deg): 90.00 90.00 90.00
Element x y z (fractional)
1 In 0.000 0.000 0.000
2 In 0.000 0.500 0.250
3 In 0.500 0.000 0.750
4 In 0.500 0.500 0.500
5 B 0.240 0.250 0.625
6 B 0.250 0.740 0.875
7 B 0.250 0.760 0.375
8 B 0.260 0.250 0.125
9 B 0.740 0.750 0.125
10 B 0.750 0.240 0.375
11 B 0.750 0.260 0.875
12 B 0.760 0.750 0.625
13 Te 0.000 0.000 0.500
14 Te 0.000 0.500 0.750
15 Te 0.500 0.000 0.250
16 Te 0.500 0.500 0.000

Calculated values
Space-group type   I-42d, No. 122
Density of states at the Fermi level   7.57 states/eV/cell
Offset from the most stable computed form   0 meV/atom
ΔE_f (raw)   0.796 eV per atom